Density functional theory data (GGA-PBE) for Ac2Ga4AgAu3 after structural relaxation.

a = 4.5838 Å, b = 4.5838 Å, c = 10.6326 Å
α = 90.00°, β = 90.00°, γ = 90.00°
Fractional coordinates of all 10 atoms:
Ac1 0.0000 0.5000 0.2497
Ac2 0.5000 0.0000 0.7503
Ga1 0.0000 0.0000 0.0000
Ga2 0.0000 0.5000 0.6296
Ga3 0.5000 0.0000 0.3704
Ga4 0.5000 0.5000 0.0000
Ag1 0.0000 0.0000 0.5000
Au1 0.0000 0.5000 0.8718
Au2 0.5000 0.0000 0.1282
Au3 0.5000 0.5000 0.5000

Computed properties:
Total magnetization: 0.0000 μB per atom
DFT total energy: -3.920 eV per atom
Energy relative to the elements: -0.62 eV per atom
Space-group type: No. 115


Density functional theory data (GGA-PBE) for AcGa4Ag2Au after structural relaxation.

a = 9.7667 Å, b = 9.7667 Å, c = 9.7667 Å
α = 26.92°, β = 26.92°, γ = 26.92°
Fractional coordinates of all 8 atoms:
Ac1 0.0000 0.0000 0.0000
Ga1 0.1278 0.1278 0.1278
Ga2 0.4028 0.4028 0.4028
Ga3 0.5972 0.5972 0.5972
Ga4 0.8722 0.8722 0.8722
Ag1 0.2437 0.2437 0.2437
Ag2 0.7563 0.7563 0.7563
Au1 0.5000 0.5000 0.5000

Computed properties:
Total magnetization: 0.0000 μB per atom
DFT total energy: -3.404 eV per atom
Energy relative to the elements: -0.25 eV per atom
Space-group type: No. 166


Density functional theory data (GGA-PBE) for AcGa4AgAu2 after structural relaxation.

a = 9.8676 Å, b = 9.8676 Å, c = 9.8676 Å
α = 26.35°, β = 26.35°, γ = 26.35°
Fractional coordinates of all 8 atoms:
Ac1 0.0000 0.0000 0.0000
Ga1 0.1262 0.1262 0.1262
Ga2 0.4016 0.4016 0.4016
Ga3 0.5984 0.5984 0.5984
Ga4 0.8738 0.8738 0.8738
Ag1 0.5000 0.5000 0.5000
Au1 0.2431 0.2431 0.2431
Au2 0.7569 0.7569 0.7569

Computed properties:
Total magnetization: 0.0000 μB per atom
DFT total energy: -3.540 eV per atom
Energy relative to the elements: -0.34 eV per atom
Space-group type: No. 166